A relaxed NaZnAu2 crystal, computed with GGA-PBE.

Properties
The density of states at the Fermi level is 0.7 states/eV/f.u. The value obtained for the energy is -2.53 eV per atom. As for the formation energy: -0.24 eV/atom. The total magnetization comes out at 0.0 μB/cell.

Cell: 3.0840 3.0840 7.8252 Å, 90.00 90.00 90.00°
Closest atoms and distances in Å follow each position.
Fractional coordinates of all 4 atoms:
Na (0.0000, 0.0000, 0.0000)  4 Na 3.08, 8 Au 3.14
Zn (0.0000, 0.0000, 0.5000)  8 Au 2.74
Au (0.5000, 0.5000, 0.2881)  4 Zn 2.74
Au (0.5000, 0.5000, 0.7119)  4 Zn 2.74